Li6InAg10 | PBE-GGA | relaxed

CIF file:
```
data_Li6InAg10
_symmetry_space_group_name_H-M 'P -3 1 m'
_symmetry_Int_Tables_number 162
_symmetry_space_group_name_Hall '-P 3 2'
_cell_length_a 7.7606
_cell_length_b 7.7606
_cell_length_c 5.5998
_cell_angle_alpha 90.00
_cell_angle_beta 90.00
_cell_angle_gamma 120.00
loop_
_atom_site_label
_atom_site_type_symbol
_atom_site_fract_x
_atom_site_fract_y
_atom_site_fract_z
Li1 Li 0.0000 0.3624 0.3091
In1 In 0.0000 0.0000 0.5000
Ag1 Ag 0.0000 0.2978 0.8223
Ag2 Ag 0.3333 0.6667 0.0000
Ag3 Ag 0.3333 0.6667 0.5000
```

Values from the calculation:
* D(E_F): 6.4 states/eV/f.u.
* calculated total energy: -45.17 eV per cell
* crystal system: trigonal
* DFT formation energy: -0.1431 eV per atom
* calculated density: 7022 kg/m³
* M_tot: 0.00 μB per formula unit
* calculated volume: 17.2 Å³/atom